(1)
Below is crystalline TcSbPO2 at its relaxed geometry, with properties calculated at the PBE level.

Structure (POSCAR):
```
TcSbPO2
1.0
-0.510 -3.666 -1.044
-0.930 -0.902 3.621
-5.062 1.004 -1.050
Sb Tc O P
1 1 2 1
Direct
0.500 0.500 0.500
0.000 0.000 0.000
0.000 0.500 0.000
0.500 0.000 0.000
0.000 0.000 0.500
```

Summary:
Polymorph energy (0 for the lowest one) = 0 meV per atom
Size of the total moment = 0.6 μB per formula unit
E = -32.339 eV per cell
Calculated density = 6.028 g/cm3
V = 15.58 A^3/atom



(2)
Below is crystalline PuBi5 at its relaxed geometry, with properties calculated at the PBE level.

Structure (POSCAR):
```
PuBi5
1.0
4.735 0.000 0.000
-2.367 5.962 -1.086
0.000 2.809 6.117
Pu Bi
1 5
Direct
0.306 0.611 0.889
0.983 0.966 0.075
0.306 0.611 0.389
0.628 0.256 0.703
0.662 0.325 0.194
0.949 0.898 0.584
```

Summary:
Calculated formation energy = -0.091 eV/atom
Polymorph energy (0 for the lowest one) = 52 meV per atom
Size of the total moment = 5.7 μB per formula unit
E = -34.282 eV per cell
Calculated density = 11.439 g/cm3
V = 31.18 A^3/atom